No. 1
A PBEsol-optimized structure of CoRe5. Source: Alexandria via LeMat-Bulk, functional meta-GGA SCAN.

The formation energy from the elements comes out at 0.327 eV/f.u. The distance to the lowest polymorph of the same formula is 23 meV/atom. The total energy comes out at -62.08 eV/atom.

The structure belongs to space group Amm2 (No. 38); the cell edges are 4.3339, 2.7293 and 14.1136 Å and the angles 90.00°, 90.00° and 90.00°. The asymmetric unit holds Co at (0.0000, 0.0000, 0.0000), Re at (0.0000, 0.0000, 0.3332), Re at (0.0000, 0.0000, 0.6581), Re at (0.5000, 0.0000, 0.2199), Re at (0.5000, 0.0000, 0.5491) and Re at (0.5000, 0.0000, 0.8886).



No. 2
A PBEsol-optimized structure of CoRe5. Source: Alexandria via LeMat-Bulk, functional meta-GGA SCAN.

The formation energy from the elements comes out at 0.356 eV/f.u. The distance to the lowest polymorph of the same formula is 28 meV/atom. The total energy comes out at -62.07 eV/atom.

The structure belongs to space group Cm (No. 8); the cell edges are 9.9058, 2.7262 and 6.3789 Å and the angles 90.00°, 104.49° and 90.00°. The asymmetric unit holds Co at (0.0000, 0.0000, 0.0000), Re at (0.0533, 0.0000, 0.6144), Re at (0.1635, 0.5000, 0.3259), Re at (0.2195, 0.5000, 0.9449), Re at (0.3377, 0.0000, 0.6687) and Re at (0.3935, 0.0000, 0.2671).



No. 3
A PBEsol-optimized structure of CoRe2. Source: Alexandria via LeMat-Bulk, functional meta-GGA SCAN.

The formation energy from the elements comes out at 0.156 eV/f.u. The distance to the lowest polymorph of the same formula is 8 meV/atom. The total energy comes out at -53.11 eV/atom.

The structure belongs to space group Cmcm (No. 63); the cell edges are 2.6570, 13.8988 and 4.2724 Å and the angles 90.00°, 90.00° and 90.00°. The asymmetric unit holds Co at (0.0000, 0.1096, 0.2500), Re at (0.0000, 0.2221, 0.7500) and Re at (0.0000, 0.4473, 0.2500).



No. 4
A PBEsol-optimized structure of Co3Re. Source: Alexandria via LeMat-Bulk, functional meta-GGA SCAN.

The formation energy from the elements comes out at 0.586 eV/f.u. The total energy comes out at -30.61 eV/atom.

The structure belongs to space group Pmmn (No. 59, origin choice 2); the cell edges are 5.0002, 12.1994 and 4.3355 Å and the angles 90.00°, 90.00° and 90.00°. The asymmetric unit holds Co at (0.0012, 0.0828, 0.1682), Co at (0.0025, 0.2500, 0.4972), Co at (0.2500, 0.0852, 0.6667), Co at (0.2500, 0.7500, 0.9975), Re at (0.2500, 0.2500, 0.0012) and Re at (0.2500, 0.5857, 0.3285).



No. 5
A PBEsol-optimized structure of CoReRh2. Source: Alexandria via LeMat-Bulk, functional meta-GGA SCAN.

The formation energy from the elements comes out at 0.151 eV/f.u. The total energy comes out at -38.95 eV/atom.

The structure belongs to space group R-3m (No. 166, hexagonal axes); the cell edges are 2.6657, 2.6657 and 25.6025 Å and the angles 90.00°, 90.00° and 120.00°. The asymmetric unit holds Co at (0.0000, 0.0000, 0.0000), Re at (0.0000, 0.0000, 0.5000) and Rh at (0.0000, 0.0000, 0.2523).



No. 6
A PBEsol-optimized structure of CoReRh3. Source: Alexandria via LeMat-Bulk, functional meta-GGA SCAN.

The formation energy from the elements comes out at 7.604 eV/f.u. The total energy comes out at -36.42 eV/atom.

The structure belongs to space group Pm-3m (No. 221); the cell edges are 4.2896, 4.2896 and 4.2896 Å and the angles 90.00°, 90.00° and 90.00°. The asymmetric unit holds Co at (0.0000, 0.0000, 0.0000), Re at (0.5000, 0.5000, 0.5000) and Rh at (0.0000, 0.0000, 0.5000).



No. 7
A PBEsol-optimized structure of CoReRh. Source: Alexandria via LeMat-Bulk, functional meta-GGA SCAN.

The formation energy from the elements comes out at 0.080 eV/f.u. The distance to the lowest polymorph of the same formula is 0 meV/atom. The total energy comes out at -40.70 eV/atom.

The structure belongs to space group Imm2 (No. 44); the cell edges are 2.6370, 3.6611 and 7.8656 Å and the angles 90.00°, 90.00° and 90.00°. The asymmetric unit holds Co at (0.0000, 0.0000, 0.0000), Re at (0.0000, 0.0000, 0.6567) and Rh at (0.0000, 0.0000, 0.3304).



No. 8
A PBEsol-optimized structure of CoReRh. Source: Alexandria via LeMat-Bulk, functional meta-GGA SCAN.

The formation energy from the elements comes out at 1.586 eV/f.u. The distance to the lowest polymorph of the same formula is 502 meV/atom. The total energy comes out at -40.20 eV/atom.

The structure belongs to space group F-43m (No. 216); the cell edges are 5.6664, 5.6664 and 5.6664 Å and the angles 90.00°, 90.00° and 90.00°. The asymmetric unit holds Co at (0.0000, 0.0000, 0.0000), Re at (0.2500, 0.2500, 0.7500) and Rh at (0.0000, 0.0000, 0.5000).



No. 9
A PBEsol-optimized structure of CoReRu2. Source: Alexandria via LeMat-Bulk, functional meta-GGA SCAN.

The formation energy from the elements comes out at 0.886 eV/f.u. The distance to the lowest polymorph of the same formula is 66 meV/atom. The total energy comes out at -39.29 eV/atom.

The structure belongs to space group Cmmm (No. 65); the cell edges are 5.2632, 7.3923 and 2.6606 Å and the angles 90.00°, 90.00° and 90.00°. The asymmetric unit holds Co at (0.0000, 0.0000, 0.0000), Re at (0.0000, 0.5000, 0.0000) and Ru at (0.2500, 0.2500, 0.5000).



No. 10
A PBEsol-optimized structure of Co3ReRu. Source: Alexandria via LeMat-Bulk, functional meta-GGA SCAN.

The formation energy from the elements comes out at 10.367 eV/f.u. The total energy comes out at -29.49 eV/atom.

The structure belongs to space group Pm-3m (No. 221); the cell edges are 4.2224, 4.2224 and 4.2224 Å and the angles 90.00°, 90.00° and 90.00°. The asymmetric unit holds Co at (0.0000, 0.0000, 0.5000), Re at (0.5000, 0.5000, 0.5000) and Ru at (0.0000, 0.0000, 0.0000).



No. 11
A PBEsol-optimized structure of CoReRu2. Source: Alexandria via LeMat-Bulk, functional meta-GGA SCAN.

The formation energy from the elements comes out at 0.620 eV/f.u. The distance to the lowest polymorph of the same formula is 0 meV/atom. The total energy comes out at -39.36 eV/atom.

The structure belongs to space group R-3m (No. 166, hexagonal axes); the cell edges are 2.6618, 2.6618 and 25.5657 Å and the angles 90.00°, 90.00° and 120.00°. The asymmetric unit holds Co at (0.0000, 0.0000, 0.0000), Re at (0.0000, 0.0000, 0.5000) and Ru at (0.0000, 0.0000, 0.2528).



No. 12
A PBEsol-optimized structure of CoReRu. Source: Alexandria via LeMat-Bulk, functional meta-GGA SCAN.

The formation energy from the elements comes out at 0.604 eV/f.u. The distance to the lowest polymorph of the same formula is 0 meV/atom. The total energy comes out at -40.87 eV/atom.

The structure belongs to space group I4mm (No. 107); the cell edges are 2.6434, 2.6434 and 10.8874 Å and the angles 90.00°, 90.00° and 90.00°. The asymmetric unit holds Co at (0.0000, 0.0000, 0.0000), Re at (0.0000, 0.0000, 0.6594) and Ru at (0.0000, 0.0000, 0.3361).